(1)
Computed, not measured: a relaxed Cs2AuCl crystal at the GGA-PBE level of DFT.

Values from the calculation:
- E_form (uncorrected) (kJ/mol of atoms) = -109.9
- offset from the most stable computed form (eV/atom) = 0.004
- raw total energy (eV per formula unit) = -11.386

```
data_Cs2AuCl
_chemical_formula_sum 'Cs6 Au3 Cl3'
_cell_length_a 5.0943
_cell_length_b 5.0943
_cell_length_c 25.3737
_cell_angle_alpha 90.00
_cell_angle_beta 90.00
_cell_angle_gamma 120.00
_symmetry_space_group_name_H-M 'R -3 m'
_symmetry_Int_Tables_number 166
_symmetry_space_group_name_Hall '-R 3 2"'
loop_
_atom_site_label
_atom_site_fract_x
_atom_site_fract_y
_atom_site_fract_z
_atom_site_occupancy
Cs1 0.0000 0.0000 0.2455 1
Au1 0.0000 0.0000 0.0000 1
Cl1 0.0000 0.0000 0.5000 1
```

(2)
Computed, not measured: a relaxed Cs5AuCl4 crystal at the GGA-PBE level of DFT.

Values from the calculation:
- E_form (uncorrected) (kJ/mol of atoms) = -157.7
- raw total energy (eV per formula unit) = -31.280

```
data_Cs5AuCl4
_chemical_formula_sum 'Cs10 Au2 Cl8'
_cell_length_a 5.0496
_cell_length_b 5.0496
_cell_length_c 35.7266
_cell_angle_alpha 90.00
_cell_angle_beta 90.00
_cell_angle_gamma 90.00
_symmetry_space_group_name_H-M 'I 4/m m m'
_symmetry_Int_Tables_number 139
_symmetry_space_group_name_Hall '-I 4 2'
loop_
_atom_site_label
_atom_site_fract_x
_atom_site_fract_y
_atom_site_fract_z
_atom_site_occupancy
Cs1 0.0000 0.0000 0.0000 1
Cs2 0.0000 0.0000 0.2003 1
Cs3 0.0000 0.0000 0.3973 1
Au1 0.0000 0.0000 0.5000 1
Cl1 0.0000 0.0000 0.1012 1
Cl2 0.0000 0.0000 0.2991 1
```

(3)
Computed, not measured: a relaxed CsAu3Cl crystal at the GGA-PBE level of DFT.

Values from the calculation:
- E_form (uncorrected) (kJ/mol of atoms) = 112.6
- offset from the most stable computed form (eV/atom) = 0.811
- raw total energy (eV per formula unit) = -6.699

```
data_CsAu3Cl
_chemical_formula_sum 'Cs1 Au3 Cl1'
_cell_length_a 6.0315
_cell_length_b 6.0315
_cell_length_c 6.0315
_cell_angle_alpha 90.00
_cell_angle_beta 90.00
_cell_angle_gamma 90.00
_symmetry_space_group_name_H-M 'P m -3 m'
_symmetry_Int_Tables_number 221
_symmetry_space_group_name_Hall '-P 4 2 3'
loop_
_atom_site_label
_atom_site_fract_x
_atom_site_fract_y
_atom_site_fract_z
_atom_site_occupancy
Cs1 0.0000 0.0000 0.0000 1
Au1 0.0000 0.0000 0.5000 1
Cl1 0.5000 0.5000 0.5000 1
```

(4)
Computed, not measured: a relaxed Cs6Au2Cl crystal at the GGA-PBE level of DFT.

Values from the calculation:
- E_form (uncorrected) (kJ/mol of atoms) = -54.6
- raw total energy (eV per formula unit) = -18.616

```
data_Cs6Au2Cl
_chemical_formula_sum 'Cs12 Au4 Cl2'
_cell_length_a 8.9995
_cell_length_b 8.7467
_cell_length_c 17.7109
_cell_angle_alpha 90.00
_cell_angle_beta 120.46
_cell_angle_gamma 90.00
_symmetry_space_group_name_H-M 'P 1 21/c 1'
_symmetry_Int_Tables_number 14
_symmetry_space_group_name_Hall '-P 2ybc'
loop_
_atom_site_label
_atom_site_fract_x
_atom_site_fract_y
_atom_site_fract_z
_atom_site_occupancy
Cs1 0.0025 0.2372 0.3383 1
Cs2 0.3241 0.2397 0.6603 1
Cs3 0.3289 0.7225 0.0005 1
Au1 0.3242 0.5010 0.8233 1
Cl1 0.0000 0.0000 0.5000 1
```

(5)
Computed, not measured: a relaxed Cs6AuCl2 crystal at the GGA-PBE level of DFT.

Values from the calculation:
- E_form (uncorrected) (kJ/mol of atoms) = -89.1
- raw total energy (eV per formula unit) = -20.405

```
data_Cs6AuCl2
_chemical_formula_sum 'Cs12 Au2 Cl4'
_cell_length_a 22.9522
_cell_length_b 5.1805
_cell_length_c 10.6366
_cell_angle_alpha 90.00
_cell_angle_beta 105.75
_cell_angle_gamma 90.00
_symmetry_space_group_name_H-M 'C 1 2/m 1'
_symmetry_Int_Tables_number 12
_symmetry_space_group_name_Hall '-C 2y'
loop_
_atom_site_label
_atom_site_fract_x
_atom_site_fract_y
_atom_site_fract_z
_atom_site_occupancy
Cs1 0.0066 0.0000 0.2436 1
Cs2 0.1638 0.5000 0.1035 1
Cs3 0.1695 0.5000 0.5684 1
Au1 0.0000 0.5000 0.0000 1
Cl1 0.1715 0.0000 0.3431 1
```

(6)
Computed, not measured: a relaxed Cs2AuCl crystal at the GGA-PBE level of DFT.

Values from the calculation:
- E_form (uncorrected) (kJ/mol of atoms) = -105.9
- offset from the most stable computed form (eV/atom) = 0.044
- raw total energy (eV per formula unit) = -11.223

```
data_Cs2AuCl
_chemical_formula_sum 'Cs8 Au4 Cl4'
_cell_length_a 8.6077
_cell_length_b 8.6077
_cell_length_c 8.6077
_cell_angle_alpha 90.00
_cell_angle_beta 90.00
_cell_angle_gamma 90.00
_symmetry_space_group_name_H-M 'F m -3 m'
_symmetry_Int_Tables_number 225
_symmetry_space_group_name_Hall '-F 4 2 3'
loop_
_atom_site_label
_atom_site_fract_x
_atom_site_fract_y
_atom_site_fract_z
_atom_site_occupancy
Cs1 0.2500 0.2500 0.2500 1
Au1 0.0000 0.0000 0.0000 1
Cl1 0.0000 0.0000 0.5000 1
```